TaPdRu2 (PBE, optimized geometry); VASP energy = -8.933 eV per atom; E_form = -34 meV/atom; polymorph energy (0 for the lowest one) = 244 meV/atom
1.0
0.0000 3.1304 3.1304
3.1304 0.0000 3.1304
3.1304 3.1304 0.0000
Ta Pd Ru
1 1 2
Direct
0.0000 0.0000 0.0000 Ta
0.5000 0.5000 0.5000 Pd
0.2500 0.2500 0.2500 Ru
0.7500 0.7500 0.7500 Ru